First-principles (PBE) data for a relaxed LiScGe crystal, as listed in Alexandria.

Cell lengths 4.526, 5.975, 9.238 Å; angles 90.00, 90.00, 90.00 degrees
Space group Amm2 (No. 38)
Inequivalent atoms, fractional coordinates:
Li1 0.000 0.000 0.000
Li2 0.500 0.000 0.197
Sc1 0.000 0.000 0.424
Sc2 0.500 0.000 0.698
Ge1 0.500 0.237 0.951

Summary:
ΔH_f (0 K): -306 meV/atom
calculated total energy: -13.8 eV per formula unit

---

First-principles (PBE) data for a relaxed LiSm12Rh6 crystal, as listed in Alexandria.

Cell lengths 13.0294, 13.0294, 11.1904 Å; angles 90.00, 90.00, 120.00 degrees
Space group R-3 (No. 148, hexagonal axes)
Inequivalent atoms, fractional coordinates:
Li1 0.0000 0.0000 0.0000
Sm1 0.0296 0.8195 0.3850
Sm2 0.0366 0.8195 0.8855
Rh1 0.0448 0.7834 0.6461

Summary:
ΔH_f (0 K): -376 meV/atom
calculated total energy: -109.8 eV per formula unit

---

First-principles (PBE) data for a relaxed LaTa2Ag crystal, as listed in Alexandria.

Cell lengths 4.136, 4.136, 21.359 Å; angles 90.00, 90.00, 90.00 degrees
Space group I-42d (No. 122)
Inequivalent atoms, fractional coordinates:
La1 0.000 0.000 0.000
Ta1 0.242 0.250 0.625
Ag1 0.000 0.000 0.500

Summary:
ΔH_f (0 K): 740 meV/atom
calculated total energy: -28.5 eV per formula unit

---

First-principles (PBE) data for a relaxed La4Pm3Dy crystal, as listed in Alexandria.

Cell lengths 25.641, 3.523, 6.309 Å; angles 90.00, 93.50, 90.00 degrees
Space group C2/m (No. 12)
Inequivalent atoms, fractional coordinates:
La1 0.105 0.000 0.234
La2 0.220 0.500 0.244
Pm1 0.000 0.000 0.500
Pm2 0.143 0.000 0.743
Dy1 0.000 0.500 0.000

Summary:
ΔH_f (0 K): 202 meV/atom
calculated total energy: -36.9 eV per formula unit

---

First-principles (PBE) data for a relaxed DyBiO3 crystal, as listed in Alexandria.

Cell lengths 4.413, 4.413, 4.413 Å; angles 90.00, 90.00, 90.00 degrees
Space group Pm-3m (No. 221)
Inequivalent atoms, fractional coordinates:
Dy1 0.000 0.000 0.000
Bi1 0.500 0.500 0.500
O1 0.000 0.500 0.500

Summary:
calculated total energy: -29.7 eV per formula unit
E_form (uncorrected): -1.2648 eV per atom

---

First-principles (PBE) data for a relaxed LiCuAsRu crystal, as listed in Alexandria.

Cell lengths 5.978, 5.978, 5.978 Å; angles 90.00, 90.00, 90.00 degrees
Space group F-43m (No. 216)
Inequivalent atoms, fractional coordinates:
Li1 0.000 0.000 0.000
Cu1 0.250 0.250 0.750
As1 0.250 0.250 0.250
Ru1 0.000 0.000 0.500

Summary:
ΔH_f (0 K): -132 meV/atom
calculated total energy: -20.5 eV per formula unit

---

First-principles (PBE) data for a relaxed CaGdPd2 crystal, as listed in Alexandria.

Cell lengths 4.0931, 4.0931, 20.7706 Å; angles 90.00, 90.00, 120.00 degrees
Space group R-3m (No. 166, hexagonal axes)
Inequivalent atoms, fractional coordinates:
Ca1 0.0000 0.0000 0.0000
Gd1 0.0000 0.0000 0.5000
Pd1 0.0000 0.0000 0.2459

Summary:
ΔH_f (0 K): -611 meV/atom
calculated total energy: -28.9 eV per formula unit

---

First-principles (PBE) data for a relaxed NaZn2Ga crystal, as listed in Alexandria.

Cell lengths 4.3652, 4.3652, 15.6031 Å; angles 90.00, 90.00, 120.00 degrees
Space group R-3m (No. 166, hexagonal axes)
Inequivalent atoms, fractional coordinates:
Na1 0.0000 0.0000 0.0000
Zn1 0.0000 0.0000 0.2028
Ga1 0.0000 0.0000 0.5000

Summary:
ΔH_f (0 K): 0 meV/atom
calculated total energy: -6.9 eV per formula unit

---

First-principles (PBE) data for a relaxed Pr5SmDy5 crystal, as listed in Alexandria.

Cell lengths 19.088, 6.053, 7.084 Å; angles 90.00, 111.56, 90.00 degrees
Space group C2/m (No. 12)
Inequivalent atoms, fractional coordinates:
Pr1 0.000 0.000 0.000
Pr2 0.176 0.500 0.420
Pr3 0.176 0.500 0.932
Sm1 0.000 0.500 0.000
Dy1 0.000 0.500 0.500
Dy2 0.123 0.000 0.624
Dy3 0.169 0.000 0.171

Summary:
ΔH_f (0 K): 249 meV/atom
calculated total energy: -48.9 eV per formula unit

---

First-principles (PBE) data for a relaxed Pm2Pr6NdSm3 crystal, as listed in Alexandria.

Cell lengths 6.385, 11.065, 12.166 Å; angles 90.00, 100.14, 90.00 degrees
Space group C2/m (No. 12)
Inequivalent atoms, fractional coordinates:
Pm1 0.000 0.167 0.000
Pr1 0.249 0.167 0.749
Pr2 0.250 0.000 0.251
Nd1 0.000 0.500 0.000
Sm1 0.000 0.000 0.500
Sm2 0.000 0.333 0.500

Summary:
ΔH_f (0 K): 12 meV/atom
calculated total energy: -57.0 eV per formula unit

---

First-principles (PBE) data for a relaxed Sc4Tl3Ga crystal, as listed in Alexandria.

Cell lengths 3.513, 3.513, 14.524 Å; angles 90.00, 90.00, 90.00 degrees
Space group P4/mmm (No. 123)
Inequivalent atoms, fractional coordinates:
Sc1 0.000 0.000 0.110
Sc2 0.000 0.000 0.369
Tl1 0.500 0.500 0.240
Tl2 0.500 0.500 0.500
Ga1 0.500 0.500 0.000

Summary:
ΔH_f (0 K): -334 meV/atom
calculated total energy: -38.1 eV per formula unit

---

First-principles (PBE) data for a relaxed TlSe4 crystal, as listed in Alexandria.

Cell lengths 6.565, 6.565, 6.565 Å; angles 90.00, 90.00, 90.00 degrees
Space group Im-3m (No. 229)
Inequivalent atoms, fractional coordinates:
Tl1 0.000 0.000 0.000
Se1 0.250 0.250 0.250

Summary:
calculated total energy: -13.5 eV per formula unit
E_form (uncorrected): 0.5610 eV per atom

---

First-principles (PBE) data for a relaxed Ho2PtSe crystal, as listed in Alexandria.

Cell lengths 3.838, 22.509, 4.290 Å; angles 90.00, 90.00, 90.00 degrees
Space group Cmcm (No. 63)
Inequivalent atoms, fractional coordinates:
Ho1 0.000 0.062 0.250
Ho2 0.000 0.325 0.250
Pt1 0.000 0.453 0.250
Se1 0.000 0.194 0.250

Summary:
calculated total energy: -24.8 eV per formula unit
E_form (uncorrected): -1.5188 eV per atom

---

First-principles (PBE) data for a relaxed Ta5Tc24 crystal, as listed in Alexandria.

Cell lengths 9.621, 9.621, 9.621 Å; angles 90.00, 90.00, 90.00 degrees
Space group I-43m (No. 217)
Inequivalent atoms, fractional coordinates:
Ta1 0.000 0.000 0.000
Ta2 0.185 0.185 0.185
Tc1 0.038 0.358 0.642
Tc2 0.090 0.090 0.716

Summary:
ΔH_f (0 K): -134 meV/atom
calculated total energy: -311.9 eV per formula unit

---

First-principles (PBE) data for a relaxed V2HgBi crystal, as listed in Alexandria.

Cell lengths 6.913, 6.913, 6.913 Å; angles 90.00, 90.00, 90.00 degrees
Space group Fm-3m (No. 225)
Inequivalent atoms, fractional coordinates:
V1 0.250 0.250 0.250
Hg1 0.000 0.000 0.000
Bi1 0.000 0.000 0.500

Summary:
ΔH_f (0 K): 521 meV/atom
calculated total energy: -20.3 eV per formula unit

---

First-principles (PBE) data for a relaxed Zn2HgTe crystal, as listed in Alexandria.

Cell lengths 4.340, 3.969, 6.110 Å; angles 90.00, 90.78, 90.00 degrees
Space group P2/m (No. 10)
Inequivalent atoms, fractional coordinates:
Zn1 0.075 0.000 0.303
Hg1 0.500 0.500 0.500
Te1 0.000 0.500 0.000

Summary:
calculated total energy: -5.9 eV per formula unit
E_form (uncorrected): 0.0277 eV per atom

---

First-principles (PBE) data for a relaxed Mg2SbS crystal, as listed in Alexandria.

Cell lengths 6.995, 6.995, 6.995 Å; angles 90.00, 90.00, 90.00 degrees
Space group Fm-3m (No. 225)
Inequivalent atoms, fractional coordinates:
Mg1 0.250 0.250 0.250
Sb1 0.000 0.000 0.000
S1 0.000 0.000 0.500

Summary:
calculated total energy: -12.4 eV per formula unit
E_form (uncorrected): -0.2335 eV per atom

---

First-principles (PBE) data for a relaxed Ta2Si2Ag crystal, as listed in Alexandria.

Cell lengths 6.724, 6.724, 3.517 Å; angles 90.00, 90.00, 90.00 degrees
Space group P4/mbm (No. 127)
Inequivalent atoms, fractional coordinates:
Ta1 0.168 0.332 0.000
Si1 0.127 0.627 0.500
Ag1 0.000 0.000 0.500

Summary:
calculated total energy: -38.1 eV per formula unit
E_form (uncorrected): -0.1341 eV per atom

---

First-principles (PBE) data for a relaxed DyCrGa6 crystal, as listed in Alexandria.

Cell lengths 9.2604, 9.2604, 6.3691 Å; angles 90.00, 90.00, 120.00 degrees
Space group R-3m (No. 166, hexagonal axes)
Inequivalent atoms, fractional coordinates:
Dy1 0.0000 0.0000 0.0000
Cr1 0.0000 0.0000 0.5000
Ga1 0.0455 0.5227 0.3034

Summary:
ΔH_f (0 K): -88 meV/atom
calculated total energy: -33.1 eV per formula unit

---

First-principles (PBE) data for a relaxed TbAgGe crystal, as listed in Alexandria.

Cell lengths 7.3919, 7.3919, 4.1141 Å; angles 90.00, 90.00, 120.00 degrees
Space group P-62m (No. 189)
Inequivalent atoms, fractional coordinates:
Tb1 0.0000 0.6048 0.0000
Ag1 0.0000 0.0000 0.0000
Ag2 0.3333 0.6667 0.5000
Ge1 0.0000 0.2667 0.5000

Summary:
ΔH_f (0 K): -412 meV/atom
calculated total energy: -13.3 eV per formula unit

---

First-principles (PBE) data for a relaxed La4Zr crystal, as listed in Alexandria.

Cell lengths 8.047, 8.047, 5.061 Å; angles 90.00, 90.00, 90.00 degrees
Space group I4/m (No. 87)
Inequivalent atoms, fractional coordinates:
La1 0.104 0.290 0.000
Zr1 0.000 0.000 0.500

Summary:
ΔH_f (0 K): 116 meV/atom
calculated total energy: -27.7 eV per formula unit

---

First-principles (PBE) data for a relaxed Tb4Pa2Rh5 crystal, as listed in Alexandria.

Cell lengths 8.552, 18.327, 6.280 Å; angles 90.00, 90.00, 90.00 degrees
Space group Ibam (No. 72)
Inequivalent atoms, fractional coordinates:
Tb1 0.117 0.135 0.000
Tb2 0.242 0.445 0.000
Pa1 0.000 0.301 0.250
Rh1 0.000 0.000 0.250
Rh2 0.078 0.418 0.500
Rh3 0.192 0.217 0.500

Summary:
ΔH_f (0 K): -705 meV/atom
calculated total energy: -82.0 eV per formula unit

---

First-principles (PBE) data for a relaxed In2Ag9Sn crystal, as listed in Alexandria.

Cell lengths 4.251, 4.251, 12.698 Å; angles 90.00, 90.00, 90.00 degrees
Space group P4/mmm (No. 123)
Inequivalent atoms, fractional coordinates:
In1 0.000 0.000 0.166
Ag1 0.000 0.500 0.000
Ag2 0.000 0.500 0.331
Ag3 0.500 0.500 0.165
Ag4 0.500 0.500 0.500
Sn1 0.000 0.000 0.500

Summary:
ΔH_f (0 K): -3 meV/atom
calculated total energy: -35.2 eV per formula unit

---

Number 1: D(E_F) 3.70 states/eV/cell. Number 2: D(E_F) 42.30 states/eV/cell. Number 3: D(E_F) 17.32 states/eV/cell. Number 4: D(E_F) 24.90 states/eV/cell. Number 5: D(E_F) 2.67 states/eV/cell. Number 6: D(E_F) 12.31 states/eV/cell. Number 7: D(E_F) 5.92 states/eV/cell. Number 8: D(E_F) 4.17 states/eV/cell. Number 9: D(E_F) 36.12 states/eV/cell. Number 10: D(E_F) 36.29 states/eV/cell. Number 11: D(E_F) 5.68 states/eV/cell. Number 12: D(E_F) 8.01 states/eV/cell. Number 13: D(E_F) 8.59 states/eV/cell. Number 14: D(E_F) 64.33 states/eV/cell. Number 15: D(E_F) 18.22 states/eV/cell. Number 16: D(E_F) 0.96 states/eV/cell. Number 17: D(E_F) 14.56 states/eV/cell. Number 18: D(E_F) 7.65 states/eV/cell. Number 19: D(E_F) 15.82 states/eV/cell. Number 20: D(E_F) 5.23 states/eV/cell. Number 21: D(E_F) 17.72 states/eV/cell. Number 22: D(E_F) 40.80 states/eV/cell. Number 23: D(E_F) 4.57 states/eV/cell.